Record 1
Below is LiUIr4 after structural relaxation, with properties calculated at the PBE-GGA level.

Summary:
VASP energy, eV per atom: -8.50
N(E_F), states/eV per atom: 1.188
Formation energy from the elements, eV per formula unit: -2.37

Cell lengths 7.4186, 7.4186, 7.4186 Å; angles 90.00, 90.00, 90.00 degrees
Space group F-43m (No. 216)
One atom of each set of equivalent atoms:
Li: 0.0000 0.0000 0.0000 (multiplicity 4)
U: 0.2500 0.2500 0.7500 (multiplicity 4)
Ir: 0.1258 0.1258 0.3742 (multiplicity 16)

Record 2
Below is LiUIr after structural relaxation, with properties calculated at the PBE-GGA level.

Summary:
VASP energy, eV per atom: -7.44
N(E_F), states/eV per atom: 1.300
Formation energy from the elements, eV per formula unit: -0.25

Cell lengths 5.7026, 7.2495, 11.6110 Å; angles 90.00, 90.00, 90.00 degrees
Space group Fmmm (No. 69)
One atom of each set of equivalent atoms:
Li: 0.0000 0.1690 0.0000 (multiplicity 8)
U: 0.2500 0.2500 0.2500 (multiplicity 8)
Ir: 0.0000 0.0000 0.3859 (multiplicity 8)

Record 3
Below is LiUZnIr after structural relaxation, with properties calculated at the PBE-GGA level.

Summary:
VASP energy, eV per atom: -5.93
N(E_F), states/eV per atom: 1.868
Formation energy from the elements, eV per formula unit: -0.40

Cell lengths 6.5269, 6.5269, 6.5269 Å; angles 90.00, 90.00, 90.00 degrees
Space group F-43m (No. 216)
One atom of each set of equivalent atoms:
Li: 0.0000 0.0000 0.0000 (multiplicity 4)
U: 0.2500 0.2500 0.7500 (multiplicity 4)
Zn: 0.2500 0.2500 0.2500 (multiplicity 4)
Ir: 0.0000 0.0000 0.5000 (multiplicity 4)

Record 4
Below is LiV2Ir2 after structural relaxation, with properties calculated at the PBE-GGA level.

Summary:
VASP energy, eV per atom: -7.88
Energy relative to the lowest polymorph listed for this composition, eV per atom: 0.018
N(E_F), states/eV per atom: 0.695
Formation energy from the elements, eV per formula unit: -1.54

Cell lengths 7.4530, 7.4530, 2.7180 Å; angles 90.00, 90.00, 90.00 degrees
Space group P4/mbm (No. 127)
One atom of each set of equivalent atoms:
Li: 0.0000 0.0000 0.0000 (multiplicity 2)
V: 0.1500 0.3500 0.0000 (multiplicity 4)
Ir: 0.1444 0.6444 0.5000 (multiplicity 4)

Record 5
Below is LiV4Ir5 after structural relaxation, with properties calculated at the PBE-GGA level.

Summary:
VASP energy, eV per atom: -8.69
N(E_F), states/eV per atom: 1.089
Formation energy from the elements, eV per formula unit: -4.21

Cell lengths 2.7975, 2.7975, 17.4867 Å; angles 90.00, 90.00, 90.00 degrees
Space group P4/mmm (No. 123)
One atom of each set of equivalent atoms:
Li: 0.0000 0.0000 0.0000 (multiplicity 1)
V: 0.0000 0.0000 0.1870 (multiplicity 2)
V: 0.0000 0.0000 0.3963 (multiplicity 2)
Ir: 0.5000 0.5000 0.0949 (multiplicity 2)
Ir: 0.5000 0.5000 0.2927 (multiplicity 2)
Ir: 0.5000 0.5000 0.5000 (multiplicity 1)

Record 6
Below is LiV2Ir2 after structural relaxation, with properties calculated at the PBE-GGA level.

Summary:
VASP energy, eV per atom: -7.90
Energy relative to the lowest polymorph listed for this composition, eV per atom: 0.000
N(E_F), states/eV per atom: 0.703
Formation energy from the elements, eV per formula unit: -1.63

Cell lengths 7.4155, 7.4155, 2.7439 Å; angles 90.00, 90.00, 90.00 degrees
Space group P4/mbm (No. 127)
One atom of each set of equivalent atoms:
Li: 0.0000 0.0000 0.0000 (multiplicity 2)
V: 0.1548 0.3452 0.5000 (multiplicity 4)
Ir: 0.1405 0.6405 0.0000 (multiplicity 4)

Record 7
Below is LiV2Ir after structural relaxation, with properties calculated at the PBE-GGA level.

Summary:
VASP energy, eV per atom: -6.92
N(E_F), states/eV per atom: 1.286
Formation energy from the elements, eV per formula unit: 1.35

Cell lengths 6.9377, 6.9377, 5.0050 Å; angles 90.00, 90.00, 90.00 degrees
Space group I-42d (No. 122)
One atom of each set of equivalent atoms:
Li: 0.0000 0.0000 0.0000 (multiplicity 4)
V: 0.2211 0.2500 0.6250 (multiplicity 8)
Ir: 0.0000 0.0000 0.5000 (multiplicity 4)

Record 8
Below is LiIrW2 after structural relaxation, with properties calculated at the PBE-GGA level.

Summary:
VASP energy, eV per atom: -8.98
Energy relative to the lowest polymorph listed for this composition, eV per atom: 0.102
N(E_F), states/eV per atom: 0.766
Formation energy from the elements, eV per formula unit: 0.75

Cell lengths 3.0462, 4.3182, 4.4819 Å; angles 90.00, 90.00, 90.00 degrees
Space group Pmmm (No. 47)
One atom of each set of equivalent atoms:
Li: 0.0000 0.0000 0.0000 (multiplicity 1)
Ir: 0.5000 0.5000 0.0000 (multiplicity 1)
W: 0.0000 0.5000 0.5000 (multiplicity 1)
W: 0.5000 0.0000 0.5000 (multiplicity 1)

Record 9
Below is LiIrW2 after structural relaxation, with properties calculated at the PBE-GGA level.

Summary:
VASP energy, eV per atom: -8.95
Energy relative to the lowest polymorph listed for this composition, eV per atom: 0.135
N(E_F), states/eV per atom: 1.010
Formation energy from the elements, eV per formula unit: 0.88

Cell lengths 3.1796, 3.1796, 5.7780 Å; angles 90.00, 90.00, 90.00 degrees
Space group P4mm (No. 99)
One atom of each set of equivalent atoms:
Li: 0.0000 0.0000 0.0000 (multiplicity 1)
Ir: 0.5000 0.5000 0.7897 (multiplicity 1)
W: 0.0000 0.0000 0.5055 (multiplicity 1)
W: 0.5000 0.5000 0.2539 (multiplicity 1)

Record 10
Below is LiIr2W after structural relaxation, with properties calculated at the PBE-GGA level.

Summary:
VASP energy, eV per atom: -8.23
N(E_F), states/eV per atom: 0.650
Formation energy from the elements, eV per formula unit: -0.34

Cell lengths 4.4593, 4.4593, 2.8933 Å; angles 90.00, 90.00, 90.00 degrees
Space group P4/mmm (No. 123)
One atom of each set of equivalent atoms:
Li: 0.0000 0.0000 0.0000 (multiplicity 1)
Ir: 0.0000 0.5000 0.5000 (multiplicity 2)
W: 0.5000 0.5000 0.0000 (multiplicity 1)

Record 11
Below is LiIrW2 after structural relaxation, with properties calculated at the PBE-GGA level.

Summary:
VASP energy, eV per atom: -9.02
Energy relative to the lowest polymorph listed for this composition, eV per atom: 0.061
N(E_F), states/eV per atom: 0.479
Formation energy from the elements, eV per formula unit: 0.59

Cell lengths 2.7369, 4.0617, 5.2810 Å; angles 90.00, 90.00, 90.00 degrees
Space group Pmmm (No. 47)
One atom of each set of equivalent atoms:
Li: 0.0000 0.0000 0.0000 (multiplicity 1)
Ir: 0.0000 0.0000 0.5000 (multiplicity 1)
W: 0.5000 0.5000 0.2457 (multiplicity 2)

Record 12
Below is LiIrW2 after structural relaxation, with properties calculated at the PBE-GGA level.

Summary:
VASP energy, eV per atom: -8.43
Energy relative to the lowest polymorph listed for this composition, eV per atom: 0.650
N(E_F), states/eV per atom: 0.651
Formation energy from the elements, eV per formula unit: 2.94

Cell lengths 7.3001, 7.3001, 5.1110 Å; angles 90.00, 90.00, 90.00 degrees
Space group I-42d (No. 122)
One atom of each set of equivalent atoms:
Li: 0.0000 0.0000 0.0000 (multiplicity 4)
Ir: 0.0000 0.0000 0.5000 (multiplicity 4)
W: 0.2149 0.2500 0.6250 (multiplicity 8)